(1)
An optimized crystal structure of Y2HoSc. Source: Alexandria via LeMat-Bulk, functional PBE.

size of the total moment	0.00	μB/f.u.
polymorph energy (0 for the lowest one)	21	meV/atom
calculated density	5.4	g/cm3

a = 3.5058 Å, b = 3.5058 Å, c = 9.7414 Å
α = 90.00°, β = 90.00°, γ = 90.00°
Last column: nearest neighbours and their distance in Å.
Space group P4/mmm (No. 123)
Unique sites:
Y 0.0000 0.0000 0.2399 x2  4 Sc 3.41, 4 Y 3.51, 4 Ho 3.54
Ho 0.5000 0.5000 0.5000 x1  4 Ho 3.51, 8 Y 3.54
Sc 0.5000 0.5000 0.0000 x1  8 Y 3.41, 4 Sc 3.51

(2)
An optimized crystal structure of Pr3Nd2Mg. Source: Alexandria via LeMat-Bulk, functional PBE.

size of the total moment	0.00	μB/f.u.
polymorph energy (0 for the lowest one)	0	meV/atom
calculated density	6.0	g/cm3

a = 5.0995 Å, b = 15.6231 Å, c = 5.1122 Å
α = 90.00°, β = 90.00°, γ = 90.00°
Last column: nearest neighbours and their distance in Å.
Space group Cmmm (No. 65)
Unique sites:
Pr 0.0000 0.0000 0.0000 x2  4 Mg 3.61, 4 Nd 3.63, 4 Pr 3.65
Pr 0.0000 0.3332 0.0000 x4  6 Nd 3.61-3.67, 4 Pr 3.64-3.65, 2 Mg 3.65
Nd 0.0000 0.1650 0.5000 x4  8 Pr 3.61-3.67, 2 Mg 3.63, 2 Nd 3.68
Mg 0.0000 0.5000 0.5000 x2  8 Pr 3.61-3.65, 4 Nd 3.63